No. 1
The following is a DFT calculation (PBE) of crystalline DyTmNiPt at its relaxed geometry.

Values from the calculation:
* symmetry: Amm2
* electronic total energy: -24.48 eV for the cell shown
* crystal system: orthorhombic

Lattice parameters (Å, degrees): 3.7946 4.3024 5.4600 90.00 110.33 90.00
Fractional positions:
Dy1 0.1419 0.0000 0.2838
Tm1 0.8609 0.5000 0.7219
Ni1 0.4198 0.0000 0.8396
Pt1 0.5773 0.5000 0.1546

***

No. 2
The following is a DFT calculation (PBE) of crystalline B5C at its relaxed geometry.

Values from the calculation:
* symmetry: C2/m
* electronic total energy: -82.13 eV for the cell shown
* crystal system: monoclinic

Lattice parameters (Å, degrees): 4.3017 4.3017 9.1683 125.40 125.40 37.61
Fractional positions:
B1 0.6226 0.6226 0.2727
B2 0.5441 0.5441 0.4356
B3 0.1527 0.1527 0.1625
B4 0.9208 0.9208 0.9292
B5 0.9071 0.9071 0.1222
B6 0.6834 0.6834 0.8587
B7 0.4833 0.4833 0.8496
B8 0.2596 0.2596 0.5861
B9 0.2459 0.2459 0.7792
B10 0.0140 0.0140 0.5458
C1 0.3774 0.3774 0.2059
C2 0.7892 0.7892 0.5024

***

How do the records compare in polymorph energy (0 for the lowest one)? In the order shown, they have 0.0 5.9 kJ/mol of atoms.
How do the records compare in theoretical density? In the order shown, they have 11.626 2.679 g/cm³.